# ScMoBr4 GGA-PBE optimized geometry
# crystal system = cubic
data_ScMoBr4
_chemical_formula_sum 'Sc4 Mo4 Br16'
_cell_length_a 8.7995
_cell_length_b 8.7995
_cell_length_c 8.7995
_cell_angle_alpha 90.00
_cell_angle_beta 90.00
_cell_angle_gamma 90.00
_symmetry_space_group_name_H-M 'F -4 3 m'
_symmetry_Int_Tables_number 216
_symmetry_space_group_name_Hall 'F -4 2 3'
loop_
_atom_site_label
_atom_site_type_symbol
_atom_site_fract_x
_atom_site_fract_y
_atom_site_fract_z
_atom_site_occupancy
Sc1 Sc 0.0000 0.0000 0.0000 1
Mo1 Mo 0.2500 0.2500 0.2500 1
Br1 Br 0.1249 0.1249 0.6249 1

# ScMoBr GGA-PBE optimized geometry
# crystal system = hexagonal
# distance to the lowest polymorph of the same formula = 202.4 meV/atom
data_ScMoBr
_chemical_formula_sum 'Sc1 Mo1 Br1'
_cell_length_a 4.6163
_cell_length_b 4.6163
_cell_length_c 3.0554
_cell_angle_alpha 90.00
_cell_angle_beta 90.00
_cell_angle_gamma 120.00
_symmetry_space_group_name_H-M 'P -6 m 2'
_symmetry_Int_Tables_number 187
_symmetry_space_group_name_Hall 'P -6 2'
loop_
_atom_site_label
_atom_site_type_symbol
_atom_site_fract_x
_atom_site_fract_y
_atom_site_fract_z
_atom_site_occupancy
Sc1 Sc 0.0000 0.0000 0.0000 1
Mo1 Mo 0.3333 0.6667 0.5000 1
Br1 Br 0.6667 0.3333 0.5000 1

# ScMoBr GGA-PBE optimized geometry
# crystal system = cubic
# distance to the lowest polymorph of the same formula = 601.6 meV/atom
data_ScMoBr
_chemical_formula_sum 'Sc4 Mo4 Br4'
_cell_length_a 6.2532
_cell_length_b 6.2532
_cell_length_c 6.2532
_cell_angle_alpha 90.00
_cell_angle_beta 90.00
_cell_angle_gamma 90.00
_symmetry_space_group_name_H-M 'F -4 3 m'
_symmetry_Int_Tables_number 216
_symmetry_space_group_name_Hall 'F -4 2 3'
loop_
_atom_site_label
_atom_site_type_symbol
_atom_site_fract_x
_atom_site_fract_y
_atom_site_fract_z
_atom_site_occupancy
Sc1 Sc 0.0000 0.0000 0.0000 1
Mo1 Mo 0.0000 0.0000 0.5000 1
Br1 Br 0.2500 0.2500 0.2500 1

# ScMo3Br GGA-PBE optimized geometry
# crystal system = cubic
# distance to the lowest polymorph of the same formula = 0.0 meV/atom
data_ScMo3Br
_chemical_formula_sum 'Sc1 Mo3 Br1'
_cell_length_a 4.6381
_cell_length_b 4.6381
_cell_length_c 4.6381
_cell_angle_alpha 90.00
_cell_angle_beta 90.00
_cell_angle_gamma 90.00
_symmetry_space_group_name_H-M 'P m -3 m'
_symmetry_Int_Tables_number 221
_symmetry_space_group_name_Hall '-P 4 2 3'
loop_
_atom_site_label
_atom_site_type_symbol
_atom_site_fract_x
_atom_site_fract_y
_atom_site_fract_z
_atom_site_occupancy
Sc1 Sc 0.0000 0.0000 0.0000 1
Mo1 Mo 0.0000 0.5000 0.5000 1
Br1 Br 0.5000 0.5000 0.5000 1

# Sc2MoWBr GGA-PBE optimized geometry
# crystal system = tetragonal
data_Sc2MoWBr
_chemical_formula_sum 'Sc2 Mo1 W1 Br1'
_cell_length_a 5.1143
_cell_length_b 5.1143
_cell_length_c 4.7551
_cell_angle_alpha 90.00
_cell_angle_beta 90.00
_cell_angle_gamma 90.00
_symmetry_space_group_name_H-M 'P 4/m m m'
_symmetry_Int_Tables_number 123
_symmetry_space_group_name_Hall '-P 4 2'
loop_
_atom_site_label
_atom_site_type_symbol
_atom_site_fract_x
_atom_site_fract_y
_atom_site_fract_z
_atom_site_occupancy
Sc1 Sc 0.0000 0.5000 0.0000 1
Mo1 Mo 0.0000 0.0000 0.0000 1
W1 W 0.5000 0.5000 0.5000 1
Br1 Br 0.0000 0.0000 0.5000 1

# Mo3SeBr GGA-PBE optimized geometry
# crystal system = cubic
# distance to the lowest polymorph of the same formula = 0.0 meV/atom
data_Mo3SeBr
_chemical_formula_sum 'Mo3 Se1 Br1'
_cell_length_a 4.6925
_cell_length_b 4.6925
_cell_length_c 4.6925
_cell_angle_alpha 90.00
_cell_angle_beta 90.00
_cell_angle_gamma 90.00
_symmetry_space_group_name_H-M 'P m -3 m'
_symmetry_Int_Tables_number 221
_symmetry_space_group_name_Hall '-P 4 2 3'
loop_
_atom_site_label
_atom_site_type_symbol
_atom_site_fract_x
_atom_site_fract_y
_atom_site_fract_z
_atom_site_occupancy
Mo1 Mo 0.0000 0.0000 0.5000 1
Se1 Se 0.0000 0.0000 0.0000 1
Br1 Br 0.5000 0.5000 0.5000 1

# Mo2SeBr GGA-PBE optimized geometry
# crystal system = monoclinic
# distance to the lowest polymorph of the same formula = 264.8 meV/atom
data_Mo2SeBr
_chemical_formula_sum 'Mo2 Se1 Br1'
_cell_length_a 4.4525
_cell_length_b 3.7363
_cell_length_c 5.7856
_cell_angle_alpha 90.00
_cell_angle_beta 90.37
_cell_angle_gamma 90.00
_symmetry_space_group_name_H-M 'P 1 2/m 1'
_symmetry_Int_Tables_number 10
loop_
_symmetry_equiv_pos_as_xyz
'x,y,z'
'-x,-y,-z'
'-x,y,-z'
'x,-y,z'
loop_
_atom_site_label
_atom_site_type_symbol
_atom_site_fract_x
_atom_site_fract_y
_atom_site_fract_z
_atom_site_occupancy
Mo1 Mo 0.1764 0.0000 0.3687 1
Se1 Se 0.5000 0.5000 0.5000 1
Br1 Br 0.0000 0.5000 0.0000 1

# Mo2SeBr GGA-PBE optimized geometry
# crystal system = trigonal
# distance to the lowest polymorph of the same formula = 446.2 meV/atom
data_Mo2SeBr
_chemical_formula_sum 'Mo6 Se3 Br3'
_cell_length_a 3.0984
_cell_length_b 3.0984
_cell_length_c 24.5421
_cell_angle_alpha 90.00
_cell_angle_beta 90.00
_cell_angle_gamma 120.00
_symmetry_space_group_name_H-M 'R -3 m'
_symmetry_Int_Tables_number 166
_symmetry_space_group_name_Hall '-R 3 2"'
loop_
_atom_site_label
_atom_site_type_symbol
_atom_site_fract_x
_atom_site_fract_y
_atom_site_fract_z
_atom_site_occupancy
Mo1 Mo 0.0000 0.0000 0.2451 1
Se1 Se 0.0000 0.0000 0.5000 1
Br1 Br 0.0000 0.0000 0.0000 1

# Mo2SeBr GGA-PBE optimized geometry
# crystal system = monoclinic
# distance to the lowest polymorph of the same formula = 784.2 meV/atom
data_Mo2SeBr
_chemical_formula_sum 'Mo4 Se2 Br2'
_cell_length_a 6.0539
_cell_length_b 8.6392
_cell_length_c 2.8831
_cell_angle_alpha 90.00
_cell_angle_beta 105.18
_cell_angle_gamma 90.00
_symmetry_space_group_name_H-M 'C 1 2/m 1'
_symmetry_Int_Tables_number 12
loop_
_symmetry_equiv_pos_as_xyz
'x,y,z'
'-x,-y,-z'
'-x,y,-z'
'x,-y,z'
'x+1/2,y+1/2,z'
'-x+1/2,-y+1/2,-z'
'-x+1/2,y+1/2,-z'
'x+1/2,-y+1/2,z'
loop_
_atom_site_label
_atom_site_type_symbol
_atom_site_fract_x
_atom_site_fract_y
_atom_site_fract_z
_atom_site_occupancy
Mo1 Mo 0.2500 0.2500 0.0000 1
Se1 Se 0.0000 0.0000 0.0000 1
Br1 Br 0.0000 0.5000 0.0000 1

# MoSeBr GGA-PBE optimized geometry
# crystal system = orthorhombic
data_MoSeBr
_chemical_formula_sum 'Mo4 Se4 Br4'
_cell_length_a 3.2687
_cell_length_b 6.0875
_cell_length_c 15.6938
_cell_angle_alpha 90.00
_cell_angle_beta 90.00
_cell_angle_gamma 90.00
_symmetry_space_group_name_H-M 'F m m 2'
_symmetry_Int_Tables_number 42
_symmetry_space_group_name_Hall 'F 2 -2'
loop_
_atom_site_label
_atom_site_type_symbol
_atom_site_fract_x
_atom_site_fract_y
_atom_site_fract_z
_atom_site_occupancy
Mo1 Mo 0.0000 0.0000 0.0000 1
Se1 Se 0.0000 0.0000 0.6155 1
Br1 Br 0.0000 0.0000 0.3694 1

# Mo2SeBr GGA-PBE optimized geometry
# crystal system = tetragonal
# distance to the lowest polymorph of the same formula = 462.6 meV/atom
data_Mo2SeBr
_chemical_formula_sum 'Mo2 Se1 Br1'
_cell_length_a 3.3380
_cell_length_b 3.3380
_cell_length_c 6.6808
_cell_angle_alpha 90.00
_cell_angle_beta 90.00
_cell_angle_gamma 90.00
_symmetry_space_group_name_H-M 'P 4/m m m'
_symmetry_Int_Tables_number 123
_symmetry_space_group_name_Hall '-P 4 2'
loop_
_atom_site_label
_atom_site_type_symbol
_atom_site_fract_x
_atom_site_fract_y
_atom_site_fract_z
_atom_site_occupancy
Mo1 Mo 0.0000 0.0000 0.1812 1
Se1 Se 0.5000 0.5000 0.0000 1
Br1 Br 0.5000 0.5000 0.5000 1

# MoSeBr GGA-PBE optimized geometry
# crystal system = tetragonal
data_MoSeBr
_chemical_formula_sum 'Mo2 Se2 Br2'
_cell_length_a 3.1324
_cell_length_b 3.1324
_cell_length_c 13.8483
_cell_angle_alpha 90.00
_cell_angle_beta 90.00
_cell_angle_gamma 90.00
_symmetry_space_group_name_H-M 'I 4 m m'
_symmetry_Int_Tables_number 107
_symmetry_space_group_name_Hall 'I 4 -2'
loop_
_atom_site_label
_atom_site_type_symbol
_atom_site_fract_x
_atom_site_fract_y
_atom_site_fract_z
_atom_site_occupancy
Mo1 Mo 0.0000 0.0000 0.0000 1
Se1 Se 0.0000 0.0000 0.6075 1
Br1 Br 0.0000 0.0000 0.3781 1

# MoSeBr4 GGA-PBE optimized geometry
# crystal system = cubic
data_MoSeBr4
_chemical_formula_sum 'Mo4 Se4 Br16'
_cell_length_a 8.6818
_cell_length_b 8.6818
_cell_length_c 8.6818
_cell_angle_alpha 90.00
_cell_angle_beta 90.00
_cell_angle_gamma 90.00
_symmetry_space_group_name_H-M 'F -4 3 m'
_symmetry_Int_Tables_number 216
_symmetry_space_group_name_Hall 'F -4 2 3'
loop_
_atom_site_label
_atom_site_type_symbol
_atom_site_fract_x
_atom_site_fract_y
_atom_site_fract_z
_atom_site_occupancy
Mo1 Mo 0.0000 0.0000 0.0000 1
Se1 Se 0.2500 0.2500 0.7500 1
Br1 Br 0.1255 0.1255 0.3745 1

# MoSeBr3 GGA-PBE optimized geometry
# crystal system = cubic
# distance to the lowest polymorph of the same formula = 1297.1 meV/atom
data_MoSeBr3
_chemical_formula_sum 'Mo1 Se1 Br3'
_cell_length_a 5.3829
_cell_length_b 5.3829
_cell_length_c 5.3829
_cell_angle_alpha 90.00
_cell_angle_beta 90.00
_cell_angle_gamma 90.00
_symmetry_space_group_name_H-M 'P m -3 m'
_symmetry_Int_Tables_number 221
_symmetry_space_group_name_Hall '-P 4 2 3'
loop_
_atom_site_label
_atom_site_type_symbol
_atom_site_fract_x
_atom_site_fract_y
_atom_site_fract_z
_atom_site_occupancy
Mo1 Mo 0.0000 0.0000 0.0000 1
Se1 Se 0.5000 0.5000 0.5000 1
Br1 Br 0.0000 0.5000 0.5000 1

# MoSeBr GGA-PBE optimized geometry
# crystal system = trigonal
data_MoSeBr
_chemical_formula_sum 'Mo1 Se1 Br1'
_cell_length_a 3.3255
_cell_length_b 3.3255
_cell_length_c 7.5171
_cell_angle_alpha 90.00
_cell_angle_beta 90.00
_cell_angle_gamma 120.00
_symmetry_space_group_name_H-M 'P 3 m 1'
_symmetry_Int_Tables_number 156
loop_
_symmetry_equiv_pos_as_xyz
'x,y,z'
'-y,x-y,z'
'-x+y,-x,z'
'-y,-x,z'
'-x+y,y,z'
'x,x-y,z'
loop_
_atom_site_label
_atom_site_type_symbol
_atom_site_fract_x
_atom_site_fract_y
_atom_site_fract_z
_atom_site_occupancy
Mo1 Mo 0.0000 0.0000 0.0000 1
Se1 Se 0.3333 0.6667 0.2207 1
Br1 Br 0.6667 0.3333 0.7480 1

# Mo2SeBr GGA-PBE optimized geometry
# crystal system = monoclinic
# distance to the lowest polymorph of the same formula = 183.7 meV/atom
data_Mo2SeBr
_chemical_formula_sum 'Mo4 Se2 Br2'
_cell_length_a 9.2223
_cell_length_b 3.2817
_cell_length_c 7.5016
_cell_angle_alpha 90.00
_cell_angle_beta 123.25
_cell_angle_gamma 90.00
_symmetry_space_group_name_H-M 'C 1 2/m 1'
_symmetry_Int_Tables_number 12
loop_
_symmetry_equiv_pos_as_xyz
'x,y,z'
'-x,-y,-z'
'-x,y,-z'
'x,-y,z'
'x+1/2,y+1/2,z'
'-x+1/2,-y+1/2,-z'
'-x+1/2,y+1/2,-z'
'x+1/2,-y+1/2,z'
loop_
_atom_site_label
_atom_site_type_symbol
_atom_site_fract_x
_atom_site_fract_y
_atom_site_fract_z
_atom_site_occupancy
Mo1 Mo 0.2242 0.0000 0.3684 1
Se1 Se 0.0000 0.0000 0.5000 1
Br1 Br 0.0000 0.5000 0.0000 1

# Mo2SeBr GGA-PBE optimized geometry
# crystal system = monoclinic
# distance to the lowest polymorph of the same formula = 247.9 meV/atom
data_Mo2SeBr
_chemical_formula_sum 'Mo4 Se2 Br2'
_cell_length_a 8.6479
_cell_length_b 3.3074
_cell_length_c 6.8863
_cell_angle_alpha 90.00
_cell_angle_beta 98.59
_cell_angle_gamma 90.00
_symmetry_space_group_name_H-M 'C 1 m 1'
_symmetry_Int_Tables_number 8
loop_
_symmetry_equiv_pos_as_xyz
'x,y,z'
'x,-y,z'
'x+1/2,y+1/2,z'
'x+1/2,-y+1/2,z'
loop_
_atom_site_label
_atom_site_type_symbol
_atom_site_fract_x
_atom_site_fract_y
_atom_site_fract_z
_atom_site_occupancy
Mo1 Mo 0.0000 0.0000 0.0000 1
Mo2 Mo 0.2075 0.5000 0.1031 1
Se1 Se 0.2509 0.0000 0.8215 1
Br1 Br 0.4607 0.0000 0.3402 1

# Mo2SeBr GGA-PBE optimized geometry
# crystal system = tetragonal
# distance to the lowest polymorph of the same formula = 824.6 meV/atom
data_Mo2SeBr
_chemical_formula_sum 'Mo4 Se2 Br2'
_cell_length_a 4.1023
_cell_length_b 4.1023
_cell_length_c 8.1914
_cell_angle_alpha 90.00
_cell_angle_beta 90.00
_cell_angle_gamma 90.00
_symmetry_space_group_name_H-M 'I -4 m 2'
_symmetry_Int_Tables_number 119
_symmetry_space_group_name_Hall 'I -4 -2'
loop_
_atom_site_label
_atom_site_type_symbol
_atom_site_fract_x
_atom_site_fract_y
_atom_site_fract_z
_atom_site_occupancy
Mo1 Mo 0.0000 0.0000 0.0000 1
Mo2 Mo 0.0000 0.5000 0.2500 1
Se1 Se 0.0000 0.5000 0.7500 1
Br1 Br 0.0000 0.0000 0.5000 1

# MoSeBr GGA-PBE optimized geometry
# crystal system = monoclinic
data_MoSeBr
_chemical_formula_sum 'Mo4 Se4 Br4'
_cell_length_a 15.7663
_cell_length_b 3.4095
_cell_length_c 6.1145
_cell_angle_alpha 90.00
_cell_angle_beta 112.78
_cell_angle_gamma 90.00
_symmetry_space_group_name_H-M 'C 1 2/m 1'
_symmetry_Int_Tables_number 12
loop_
_symmetry_equiv_pos_as_xyz
'x,y,z'
'-x,-y,-z'
'-x,y,-z'
'x,-y,z'
'x+1/2,y+1/2,z'
'-x+1/2,-y+1/2,-z'
'-x+1/2,y+1/2,-z'
'x+1/2,-y+1/2,z'
loop_
_atom_site_label
_atom_site_type_symbol
_atom_site_fract_x
_atom_site_fract_y
_atom_site_fract_z
_atom_site_occupancy
Mo1 Mo 0.2433 0.0000 0.1702 1
Se1 Se 0.1236 0.5000 0.9492 1
Br1 Br 0.1495 0.0000 0.4713 1

# Mo2SeBr GGA-PBE optimized geometry
# crystal system = orthorhombic
# distance to the lowest polymorph of the same formula = 752.0 meV/atom
data_Mo2SeBr
_chemical_formula_sum 'Mo4 Se2 Br2'
_cell_length_a 3.0686
_cell_length_b 5.7058
_cell_length_c 8.4566
_cell_angle_alpha 90.00
_cell_angle_beta 90.00
_cell_angle_gamma 90.00
_symmetry_space_group_name_H-M 'C m m m'
_symmetry_Int_Tables_number 65
_symmetry_space_group_name_Hall '-C 2 2'
loop_
_atom_site_label
_atom_site_type_symbol
_atom_site_fract_x
_atom_site_fract_y
_atom_site_fract_z
_atom_site_occupancy
Mo1 Mo 0.0000 0.0000 0.2325 1
Se1 Se 0.0000 0.5000 0.0000 1
Br1 Br 0.0000 0.5000 0.5000 1

Number 1: E_tot -0.1135 Ha/atom, density of states at the Fermi level 1.1471 states/eV/atom. Number 2: E_tot -0.2192 Ha/atom, density of states at the Fermi level 1.3082 states/eV/atom. Number 3: E_tot -0.2045 Ha/atom, density of states at the Fermi level 0.6011 states/eV/atom. Number 4: E_tot -0.2537 Ha/atom, density of states at the Fermi level 1.0625 states/eV/atom. Number 5: E_tot -0.2281 Ha/atom, density of states at the Fermi level 0.7570 states/eV/atom. Number 6: E_tot -0.2228 Ha/atom, density of states at the Fermi level 1.1184 states/eV/atom. Number 7: E_tot -0.2365 Ha/atom, density of states at the Fermi level 0.5018 states/eV/atom. Number 8: E_tot -0.2298 Ha/atom, density of states at the Fermi level 1.2472 states/eV/atom. Number 9: E_tot -0.2174 Ha/atom, density of states at the Fermi level 1.0063 states/eV/atom. Number 10: E_tot -0.1892 Ha/atom, density of states at the Fermi level 1.0971 states/eV/atom. Number 11: E_tot -0.2292 Ha/atom, density of states at the Fermi level 0.5735 states/eV/atom. Number 12: E_tot -0.2007 Ha/atom, density of states at the Fermi level 0.5785 states/eV/atom. Number 13: E_tot -0.0847 Ha/atom, density of states at the Fermi level 1.2438 states/eV/atom. Number 14: E_tot -0.1124 Ha/atom, density of states at the Fermi level 0.2930 states/eV/atom. Number 15: E_tot -0.2068 Ha/atom, density of states at the Fermi level 0.7996 states/eV/atom. Number 16: E_tot -0.2395 Ha/atom, density of states at the Fermi level 0.4412 states/eV/atom. Number 17: E_tot -0.2371 Ha/atom, density of states at the Fermi level 0.8734 states/eV/atom. Number 18: E_tot -0.2159 Ha/atom, density of states at the Fermi level 0.8672 states/eV/atom. Number 19: E_tot -0.2166 Ha/atom, density of states at the Fermi level 0.3354 states/eV/atom. Number 20: E_tot -0.2186 Ha/atom, density of states at the Fermi level 1.2270 states/eV/atom.